[1]
The following is a DFT calculation (meta-GGA SCAN) of Cd2NiSb at its PBEsol-relaxed geometry.

Values from the calculation:
crystal system	tetragonal
mass density	9.0	g/cm³
energy relative to the elements, uncorrected	0.89	eV per formula unit
total DFT energy (no corrections)	-226.747	eV per cell

Lattice parameters (Å, degrees): 4.074 4.074 8.998 90.00 90.00 90.00
Space group I4/mmm (No. 139)
Asymmetric unit:
Cd1 0.000 0.500 0.250 [4 per cell]
Ni1 0.000 0.000 0.000 [2 per cell]
Sb1 0.000 0.000 0.500 [2 per cell]

[2]
The following is a DFT calculation (meta-GGA SCAN) of CdNiSb2 at its PBEsol-relaxed geometry.

Values from the calculation:
crystal system	trigonal
mass density	7.9	g/cm³
energy relative to the elements, uncorrected	-0.30	eV per formula unit
total DFT energy (no corrections)	-364.224	eV per cell

Lattice parameters (Å, degrees): 3.8356 3.8356 20.5696 90.00 90.00 120.00
Space group R-3m (No. 166, hexagonal axes)
Asymmetric unit:
Cd1 0.0000 0.0000 0.0000 [3 per cell]
Ni1 0.0000 0.0000 0.5000 [3 per cell]
Sb1 0.0000 0.0000 0.2281 [6 per cell]

[3]
The following is a DFT calculation (meta-GGA SCAN) of CdNiSbTe2 at its PBEsol-relaxed geometry.

Values from the calculation:
crystal system	tetragonal
mass density	7.2	g/cm³
energy relative to the elements, uncorrected	1.45	eV per formula unit
total DFT energy (no corrections)	-156.900	eV per cell

Lattice parameters (Å, degrees): 5.168 5.168 4.738 90.00 90.00 90.00
Space group P4/mmm (No. 123)
Asymmetric unit:
Cd1 0.000 0.000 0.000 [1 per cell]
Ni1 0.500 0.500 0.500 [1 per cell]
Sb1 0.500 0.500 0.000 [1 per cell]
Te1 0.000 0.500 0.500 [2 per cell]

Q: Look up the energy relative to the elements, uncorrected of the first one.
A: 0.89 eV per formula unit

Q: Look up the total DFT energy (no corrections) of the first one.
A: -226.747 eV per cell

Q: The lowest mass density belongs to which entry?
A: CdNiSbTe2